DFT (SCAN) results for a crystal of CaZrIn2 relaxed with PBEsol.

The structure belongs to space group P4/mmm (No. 123); the cell edges are 3.239, 3.239 and 8.900 Å and the angles 90.00°, 90.00° and 90.00°. The asymmetric unit holds Ca at (0.000, 0.000, 0.000), Zr at (0.000, 0.000, 0.500) and In at (0.500, 0.500, 0.264).

The calculation puts the formation energy at -0.490 eV/atom. The calculation puts the density at 6.4 g/cm³.

=====

DFT (SCAN) results for a crystal of Si2HgMo relaxed with PBEsol.

The structure belongs to space group R3m (No. 160, hexagonal axes); the cell edges are 2.8261, 2.8261 and 29.2252 Å and the angles 90.00°, 90.00° and 120.00°. The asymmetric unit holds Si at (0.0000, 0.0000, 0.0000), Si at (0.0000, 0.0000, 0.2618), Hg at (0.0000, 0.0000, 0.7727) and Mo at (0.0000, 0.0000, 0.5268).

The calculation puts the density at 8.7 g/cm³. As for the energy relative to the elements, uncorrected: 2.17 eV per formula unit.

=====

DFT (SCAN) results for a crystal of KBaMg2Ag relaxed with PBEsol.

The structure belongs to space group P4/mmm (No. 123); the cell edges are 5.479, 5.479 and 6.039 Å and the angles 90.00°, 90.00° and 90.00°. The asymmetric unit holds K at (0.000, 0.000, 0.000), Ba at (0.500, 0.500, 0.000), Mg at (0.000, 0.500, 0.500) and Ag at (0.500, 0.500, 0.500).

The calculation puts the formation energy at 0.023 eV/atom. The calculation puts the density at 3.0 g/cm³.

=====

DFT (SCAN) results for a crystal of KZr3Cu relaxed with PBEsol.

The structure belongs to space group Pm-3m (No. 221); the cell edges are 4.734, 4.734 and 4.734 Å and the angles 90.00°, 90.00° and 90.00°. The asymmetric unit holds K at (0.000, 0.000, 0.000), Zr at (0.000, 0.000, 0.500) and Cu at (0.500, 0.500, 0.500).

The calculation puts the formation energy at 2.136 eV/atom. The calculation puts the density at 5.9 g/cm³.

=====

DFT (SCAN) results for a crystal of ZrIn2Tc relaxed with PBEsol.

The structure belongs to space group P4mm (No. 99); the cell edges are 3.483, 3.483 and 6.362 Å and the angles 90.00°, 90.00° and 90.00°. The asymmetric unit holds Zr at (0.000, 0.000, 0.000), In at (0.000, 0.000, 0.548), In at (0.500, 0.500, 0.283) and Tc at (0.500, 0.500, 0.795).

The calculation puts the formation energy at -0.134 eV/atom. The calculation puts the energy above the most stable polymorph in this dataset at 0 meV/atom. The calculation puts the density at 9.0 g/cm³.

=====

DFT (SCAN) results for a crystal of LiAgBr2 relaxed with PBEsol.

The structure belongs to space group P4/mmm (No. 123); the cell edges are 3.470, 3.470 and 6.982 Å and the angles 90.00°, 90.00° and 90.00°. The asymmetric unit holds Li at (0.000, 0.000, 0.000), Ag at (0.000, 0.000, 0.500) and Br at (0.500, 0.500, 0.246).

The calculation puts the energy above the most stable polymorph in this dataset at 238 meV/atom. The calculation puts the density at 5.4 g/cm³. As for the energy relative to the elements, uncorrected: -3.18 eV per formula unit.